The following is a PBE calculation of a relaxed structure of LaPmGa6, from OQMD.

Unit cell a=6.537 b=6.537 c=4.557 alpha=90.00 beta=90.00 gamma=120.00
Sites, in units of the cell vectors:
La: 0.000 0.000 0.000
Pm: 0.667 0.333 0.500
Ga: 0.047 0.523 0.000
Ga: 0.192 0.384 0.500
Ga: 0.192 0.808 0.500
Ga: 0.477 0.523 0.000
Ga: 0.477 0.953 0.000
Ga: 0.616 0.808 0.500

- Final energy: -4.071 eV per atom

=====

The following is a PBE calculation of a relaxed structure of LaPrGa6, from OQMD.

Unit cell a=6.563 b=6.563 c=4.580 alpha=90.00 beta=90.00 gamma=120.00
Sites, in units of the cell vectors:
La: 0.000 0.000 0.000
Pr: 0.333 0.667 0.500
Ga: 0.384 0.192 0.500
Ga: 0.525 0.049 0.000
Ga: 0.525 0.475 0.000
Ga: 0.808 0.192 0.500
Ga: 0.808 0.616 0.500
Ga: 0.951 0.475 0.000

- Final energy: -4.079 eV per atom

=====

The following is a PBE calculation of a relaxed structure of LaPrGa4, from OQMD.

Unit cell a=4.306 b=4.306 c=8.783 alpha=90.00 beta=90.00 gamma=120.00
Sites, in units of the cell vectors:
La: 0.000 0.000 0.000
Pr: 0.000 0.000 0.500
Ga: 0.333 0.667 0.250
Ga: 0.333 0.667 0.750
Ga: 0.667 0.333 0.253
Ga: 0.667 0.333 0.747

- Final energy: -4.335 eV per atom

=====

The following is a PBE calculation of a relaxed structure of LaPrGa2, from OQMD.

Unit cell a=5.962 b=5.777 c=5.987 alpha=90.00 beta=100.67 gamma=90.00
Sites, in units of the cell vectors:
La: 0.156 0.250 0.017
La: 0.844 0.750 0.983
Pr: 0.484 0.750 0.341
Pr: 0.516 0.250 0.659
Ga: 0.000 0.000 0.500
Ga: 0.000 0.500 0.500
Ga: 0.310 0.750 0.805
Ga: 0.690 0.250 0.195

- Final energy: -4.489 eV per atom

=====

The following is a PBE calculation of a relaxed structure of LaPrGa, from OQMD.

Unit cell a=7.301 b=7.301 c=7.301 alpha=90.00 beta=90.00 gamma=90.00
Sites, in units of the cell vectors:
La: 0.000 0.000 0.000
La: 0.000 0.500 0.500
La: 0.500 0.000 0.500
La: 0.500 0.500 0.000
Pr: 0.000 0.000 0.500
Pr: 0.000 0.500 0.000
Pr: 0.500 0.000 0.000
Pr: 0.500 0.500 0.500
Ga: 0.250 0.250 0.250
Ga: 0.250 0.750 0.750
Ga: 0.750 0.250 0.750
Ga: 0.750 0.750 0.250

- Final energy: -4.504 eV per atom

=====

The following is a PBE calculation of a relaxed structure of LaPrGa2, from OQMD.

Unit cell a=4.218 b=4.511 c=11.460 alpha=90.00 beta=90.00 gamma=90.00
Sites, in units of the cell vectors:
La: 0.000 0.000 0.000
La: 0.000 0.500 0.500
Pr: 0.500 0.000 0.286
Pr: 0.500 0.500 0.786
Ga: 0.000 0.000 0.714
Ga: 0.000 0.500 0.214
Ga: 0.500 0.000 0.577
Ga: 0.500 0.500 0.077

- Final energy: -4.528 eV per atom

=====

The following is a PBE calculation of a relaxed structure of LaPrGa5, from OQMD.

Unit cell a=4.414 b=4.414 c=8.582 alpha=90.00 beta=90.00 gamma=90.00
Sites, in units of the cell vectors:
La: 0.000 0.000 0.000
Pr: 0.000 0.000 0.500
Ga: 0.000 0.500 0.252
Ga: 0.000 0.500 0.748
Ga: 0.500 0.000 0.252
Ga: 0.500 0.000 0.748
Ga: 0.500 0.500 0.000

- Final energy: -3.915 eV per atom

=====

The following is a PBE calculation of a relaxed structure of LaGaPt, from OQMD.

Unit cell a=7.251 b=4.547 c=7.946 alpha=90.00 beta=90.00 gamma=90.00
Sites, in units of the cell vectors:
La: 0.025 0.250 0.195
La: 0.475 0.750 0.695
La: 0.525 0.250 0.305
La: 0.975 0.750 0.805
Ga: 0.162 0.250 0.574
Ga: 0.338 0.750 0.074
Ga: 0.662 0.250 0.926
Ga: 0.838 0.750 0.426
Pt: 0.221 0.750 0.399
Pt: 0.279 0.250 0.899
Pt: 0.721 0.750 0.101
Pt: 0.779 0.250 0.601

- Final energy: -5.724 eV per atom

=====

The following is a PBE calculation of a relaxed structure of LaGaPt, from OQMD.

Unit cell a=6.919 b=6.919 c=6.919 alpha=90.00 beta=90.00 gamma=90.00
Sites, in units of the cell vectors:
La: 0.000 0.000 0.000
La: 0.000 0.500 0.500
La: 0.500 0.000 0.500
La: 0.500 0.500 0.000
Ga: 0.250 0.250 0.750
Ga: 0.250 0.750 0.250
Ga: 0.750 0.250 0.250
Ga: 0.750 0.750 0.750
Pt: 0.250 0.250 0.250
Pt: 0.250 0.750 0.750
Pt: 0.750 0.250 0.750
Pt: 0.750 0.750 0.250

- Final energy: -4.934 eV per atom

=====

The following is a PBE calculation of a relaxed structure of LaGaSiPt2, from OQMD.

Unit cell a=4.359 b=4.359 c=10.098 alpha=90.00 beta=90.00 gamma=90.00
Sites, in units of the cell vectors:
La: 0.250 0.250 0.241
La: 0.750 0.750 0.759
Ga: 0.250 0.250 0.634
Ga: 0.750 0.750 0.366
Si: 0.250 0.750 0.000
Si: 0.750 0.250 0.000
Pt: 0.250 0.250 0.887
Pt: 0.250 0.750 0.500
Pt: 0.750 0.250 0.500
Pt: 0.750 0.750 0.113

- Final energy: -6.146 eV per atom

=====

The following is a PBE calculation of a relaxed structure of LaGaSiPt2, from OQMD.

Unit cell a=4.327 b=4.327 c=10.209 alpha=90.00 beta=90.00 gamma=90.00
Sites, in units of the cell vectors:
La: 0.250 0.250 0.248
La: 0.750 0.750 0.752
Ga: 0.250 0.750 0.000
Ga: 0.750 0.250 0.000
Si: 0.250 0.250 0.623
Si: 0.750 0.750 0.377
Pt: 0.250 0.250 0.858
Pt: 0.250 0.750 0.500
Pt: 0.750 0.250 0.500
Pt: 0.750 0.750 0.142

- Final energy: -6.181 eV per atom

=====

The following is a PBE calculation of a relaxed structure of LaTbGa2Pt4, from OQMD.

Unit cell a=4.421 b=4.421 c=9.468 alpha=90.00 beta=90.00 gamma=120.00
Sites, in units of the cell vectors:
La: 0.000 0.000 0.000
Tb: 0.333 0.667 0.500
Ga: 0.667 0.333 0.260
Ga: 0.667 0.333 0.740
Pt: 0.000 0.000 0.337
Pt: 0.000 0.000 0.663
Pt: 0.333 0.667 0.183
Pt: 0.333 0.667 0.817

- Final energy: -6.005 eV per atom

=====

Question: What is the formula in the eighth record?
Answer: LaGaPt

=====

Question: Among the records above, which one has the lowest final energy?
Answer: number 11

=====

Question: Among the records above, which one has the lowest final energy?
Answer: number 11

=====

Question: Which value of final energy does entry 3 give?
Answer: -4.335 eV per atom